# LiPrCu

A relaxed structure of LiPrCu (PBE-GGA, the Alexandria database).

E_form in meV per atom: -2
DOS at the Fermi energy in states/eV/cell: 3.65
Total DFT energy (no corrections) in eV per atom: -3.5981
Energy above the lowest structure with this stoichiometry in eV per atom: 0.059
Space-group type: P-6m2, No. 187

a b c (Å): 3.701 4.514 4.514
angles (deg): 120.00 90.00 90.00
Fractional coordinates of all 3 atoms:
Pr1 0.667 0.667 0.333
Cu1 0.167 0.000 0.000
Li1 0.167 0.333 0.667